[1]
5
Lattice="-1.8764 -1.2805 4.7376 -4.4877 -1.6050 -2.2113 1.7137 -4.1727 -0.4491" Properties=species:S:1:pos:R:3 comment="TlSnHPb2 (GGA-PBE, optimized geometry)" sg="P4/mmm, No. 123" relative_energy_kj_per_mol_atoms=0.0 pbc="T T T"
Pb -2.2439 -0.8025 -1.1056
Pb -0.9382 -0.6403 2.3688
Tl -2.3252 -3.5291 1.0386
H 0.0000 0.0000 0.0000
Sn 0.8568 -2.0864 -0.2246


[2]
80
Lattice="16.8286 0.0000 0.0000 -5.6095 15.8661 0.0000 -5.6095 -7.9331 13.7405" Properties=species:S:1:pos:R:3 comment="Rb5In3Hg12 (GGA-PBE, optimized geometry)" delta_e_f_kcal_per_mol_atoms=-0.421 sg="Ia-3d, No. 230" pbc="T T T"
Hg 0.0660 5.9042 6.0901
Hg -2.8707 4.2598 8.9383
Hg 6.2470 7.4834 10.3855
Hg -0.0650 5.9968 0.7801
Hg 10.5826 -5.2532 11.6724
Hg -0.6365 8.7686 5.5834
Hg -5.6755 12.1928 4.8021
Hg 6.2460 -0.8355 8.1570
Hg 3.4412 7.0975 5.5834
Hg 8.3493 8.2256 2.0669
Hg -2.1683 5.2531 11.6724
Hg -0.6374 0.4497 3.3549
Hg 8.4803 14.2217 1.2880
Hg 11.2850 -4.2598 8.9383
Hg 5.6745 -1.6437 12.4537
Hg 10.5816 0.8362 5.5822
Hg 11.2840 7.6405 2.0669
Hg 8.4802 3.6733 4.8021
Hg 2.1683 0.8356 8.1570
Hg -4.9721 7.0968 8.1583
Hg 5.6745 1.9363 12.9604
Hg -3.4422 8.3828 10.3855
Hg 2.8698 6.2893 1.2868
Hg 2.7398 1.6437 12.4537
Hg 3.4422 1.2859 4.8033
Hg -4.9731 13.1862 2.0681
Hg 2.8697 9.8693 0.7801
Hg 11.1531 1.6444 1.2880
Hg -2.8707 -6.2886 12.4525
Hg -2.1673 -0.8362 5.5822
Hg 2.8707 -2.0289 7.6503
Hg -2.7398 -0.2925 11.6736
Hg 0.6374 9.2190 8.9371
Hg 7.7778 2.6799 2.0681
Hg 2.7388 9.9619 6.0901
Hg 2.7398 -1.9363 12.9604
Hg -0.0650 9.5768 1.2868
Hg 9.0517 -0.4497 3.3549
Hg 7.7778 12.3507 3.5153
Hg 4.9721 -1.2859 4.8033
Hg 2.1673 6.6471 8.9371
Hg 7.7768 8.7693 8.1583
Hg -5.6745 0.2925 11.6736
Hg -5.5436 6.2887 12.4525
Hg 11.8555 3.5155 3.5153
Hg -2.1683 -4.4176 10.2252
Hg -6.2460 4.4176 10.2252
Hg 5.5436 2.0289 7.6503
In -7.0119 7.9331 10.3054
In 1.4024 -0.9916 5.1527
In 9.8167 10.9080 1.7176
In 12.6214 0.0000 3.4351
In -1.4024 6.9414 8.5878
In 1.4024 7.9331 3.4351
In 7.0119 0.9916 5.1527
In -4.2071 -2.9749 12.0229
In 9.8167 4.9582 1.7176
In -4.2071 2.9749 12.0229
In 4.2071 0.0000 10.3054
In 4.2071 8.9247 8.5878
Rb 9.8167 -0.9916 8.5878
Rb 8.4143 0.0000 0.0000
Rb 2.8048 3.9665 6.8702
Rb 1.4024 -3.9665 10.3054
Rb 7.0119 6.9414 5.1527
Rb -5.6095 3.9665 6.8702
Rb -2.8048 7.9331 0.0000
Rb 1.4024 4.9582 12.0229
Rb 5.6095 -3.9665 6.8702
Rb 4.2071 2.9749 1.7176
Rb -1.4024 12.8912 1.7176
Rb -2.8048 -3.9665 6.8702
Rb 7.0119 3.9665 10.3054
Rb 5.6095 7.9331 0.0000
Rb -1.4024 3.9665 3.4351
Rb 0.0000 0.0000 0.0000
Rb -1.4024 0.9916 8.5878
Rb -4.2071 8.9247 5.1527
Rb 7.0119 -4.9582 12.0229
Rb 4.2071 11.8996 3.4351


[3]
8
Lattice="-3.9575 0.5587 -1.7141 -1.9817 -3.3035 -2.0180 -5.3929 -3.2219 5.8842" Properties=species:S:1:pos:R:3 comment="CeZn2CuPd4 (GGA-PBE, optimized geometry)" delta_e_f_kcal_per_mol_atoms=-11.567 sg="R-3m, No. 166" pbc="T T T"
Zn -8.3600 -4.3810 1.3235
Zn -2.9721 -1.5857 0.8285
Ce 0.0000 0.0000 0.0000
Pd -6.7233 -3.6980 3.2841
Pd -4.6088 -2.2687 -1.1321
Pd -4.0846 -2.3377 3.1519
Pd -7.2475 -3.6291 -0.9998
Cu -5.6660 -2.9834 1.0760


[4]
4
Lattice="4.7078 0.0000 0.0000 2.3539 4.0771 0.0000 2.3539 1.3590 3.8439" Properties=species:S:1:pos:R:3 comment="TmHfCuIr (GGA-PBE, optimized geometry)" delta_e_f_kcal_per_mol_atoms=-13.542 sg="F-43m, No. 216" pbc="T T T"
Hf 4.7078 2.7181 1.9220
Cu 2.3539 1.3590 0.9610
Tm 0.0000 0.0000 0.0000
Ir 7.0617 4.0771 2.8829


[5]
8
Lattice="5.5580 0.0000 0.0000 0.0000 5.5580 0.0000 2.7790 2.7790 5.5629" Properties=species:S:1:pos:R:3 comment="Mn2TePt (GGA-PBE, optimized geometry)" total_energy_ev_per_atom=-6.090 sg="I-42d, No. 122" pbc="T T T"
Pt 0.0000 0.0000 0.0000
Pt 5.5580 2.7790 2.7814
Mn 1.2268 4.1685 1.3907
Mn 6.9475 7.1102 4.1722
Mn 4.1685 4.0058 4.1722
Mn 4.3312 1.3895 1.3907
Te 2.7790 2.7790 0.0000
Te 2.7790 5.5580 2.7814


[6]
4
Lattice="0.0000 3.4155 3.4155 3.4155 0.0000 3.4155 3.4155 3.4155 0.0000" Properties=species:S:1:pos:R:3 comment="KMoAs2 (GGA-PBE, optimized geometry)" delta_e_f_kcal_per_mol_atoms=10.066 sg="Fm-3m, No. 225" relative_energy_kj_per_mol_atoms=63.7 pbc="T T T"
Mo 3.4155 3.4155 3.4155
K 0.0000 0.0000 0.0000
As 5.1232 5.1232 5.1232
As 1.7077 1.7077 1.7077